Compound: Pm4Zn3Si5
Source: the Alexandria database
Functional: PBE
Structure: relaxed

Properties
E_form (uncorrected)   -26.78 kJ/mol of atoms
Final energy   -4.439 eV/atom

a b c (Å): 4.421 7.282 9.919
angles (deg): 80.62 77.12 72.33
Fractional positions:
Pm: 0.891 0.266 0.953
Pm: 0.248 0.841 0.663
Pm: 0.752 0.159 0.337
Pm: 0.109 0.734 0.047
Zn: 0.424 0.806 0.346
Zn: 0.000 0.500 0.500
Zn: 0.576 0.194 0.654
Si: 0.569 0.987 0.876
Si: 0.500 0.500 0.500
Si: 0.251 0.336 0.163
Si: 0.749 0.664 0.837
Si: 0.431 0.013 0.124